No. 1
Material: Zn2CrPb
Method: DFT, PBE
State: optimized geometry

V ... 150.8 Å³ per cell
Total energy ... -3.293 eV per atom
Calculated formation energy ... 0.677 eV per atom

```
Zn2CrPb
1.0
-3.757 3.757 2.671
3.757 -3.757 2.671
3.757 3.757 -2.671
Zn Cr Pb
4 2 2
direct
0.084 0.625 0.959
0.375 0.334 0.459
0.666 0.125 0.041
0.875 0.916 0.541
0.000 0.000 0.000
0.750 0.250 0.500
0.250 0.750 0.500
0.500 0.500 0.000
```


No. 2
Material: Zr5Si
Method: DFT, PBE
State: optimized geometry

V ... 127.8 Å³ per cell
Total energy ... -8.239 eV per atom

```
Zr5Si
1.0
3.543 0.000 0.000
0.000 3.543 0.000
0.000 0.000 10.178
Zr Si
5 1
direct
0.000 0.000 0.000
0.000 0.000 0.363
0.000 0.000 0.637
0.500 0.500 0.186
0.500 0.500 0.814
0.500 0.500 0.500
```


No. 3
Material: ScTiCo
Method: DFT, PBE
State: optimized geometry

V ... 149.0 Å³ per cell
Total energy ... -7.390 eV per atom
Calculated formation energy ... -0.279 eV per atom

```
ScTiCo
1.0
4.330 0.000 0.000
0.000 5.456 3.154
0.000 -5.456 3.154
Sc Ti Co
3 3 3
direct
0.000 0.000 0.000
0.000 0.172 0.586
0.000 0.586 0.172
0.500 0.327 0.327
0.500 0.586 0.846
0.500 0.846 0.586
0.000 0.586 0.586
0.500 0.252 0.919
0.500 0.919 0.252
```


No. 4
Material: TbNdCdPb
Method: DFT, PBE
State: optimized geometry

V ... 113.2 Å³ per cell
Total energy ... -3.919 eV per atom
Calculated formation energy ... -0.413 eV per atom

```
TbNdCdPb
1.0
0.000 3.839 3.839
3.839 0.000 3.839
3.839 3.839 0.000
Tb Nd Cd Pb
1 1 1 1
direct
0.000 0.000 0.000
0.500 0.500 0.500
0.750 0.750 0.750
0.250 0.250 0.250
```


No. 5
Material: NbGaFe2
Method: DFT, PBE
State: optimized geometry

V ... 52.9 Å³ per cell
Total energy ... -7.666 eV per atom
Calculated formation energy ... -0.161 eV per atom

```
NbGaFe2
1.0
3.037 0.000 0.000
0.000 3.037 0.000
0.000 0.000 5.737
Nb Ga Fe
1 1 2
direct
0.000 0.000 0.000
0.000 0.000 0.500
0.500 0.500 0.255
0.500 0.500 0.745
```


No. 6
Material: NaHg4Pb4
Method: DFT, PBE
State: optimized geometry

V ... 254.6 Å³ per cell
Total energy ... -1.976 eV per atom
Calculated formation energy ... -0.047 eV per atom

```
NaHg4Pb4
1.0
-5.312 5.312 2.256
5.312 -5.312 2.256
5.312 5.312 -2.256
Na Hg Pb
1 4 4
direct
0.000 0.000 0.000
0.335 0.335 0.670
0.335 0.665 0.000
0.665 0.335 0.000
0.665 0.665 0.330
0.000 0.332 0.332
0.000 0.668 0.668
0.332 0.000 0.332
0.668 0.000 0.668
```


No. 7
Material: Ni2H3Rh
Method: DFT, PBE
State: optimized geometry

V ... 43.0 Å³ per cell
Total energy ... -4.843 eV per atom

```
Ni2H3Rh
1.0
0.000 1.967 5.576
1.959 0.000 5.576
1.959 1.967 0.000
Ni H Rh
2 3 1
direct
0.173 0.173 0.827
0.827 0.827 0.173
0.000 0.000 0.000
0.328 0.328 0.672
0.672 0.672 0.328
0.500 0.500 0.500
```


No. 8
Material: KBa2Ir
Method: DFT, PBE
State: optimized geometry

V ... 136.9 Å³ per cell
Total energy ... -2.993 eV per atom
Calculated formation energy ... 0.458 eV per atom

```
KBa2Ir
1.0
-2.522 2.522 5.383
2.522 -2.522 5.383
2.522 2.522 -5.383
K Ba Ir
1 2 1
direct
0.000 0.000 0.000
0.250 0.750 0.500
0.500 0.500 0.000
0.750 0.250 0.500
```


No. 9
Material: Pu2MgGe3Ir4
Method: DFT, PBE
State: optimized geometry

V ... 185.1 Å³ per cell
Total energy ... -8.499 eV per atom
Calculated formation energy ... -0.544 eV per atom

```
Pu2MgGe3Ir4
1.0
4.110 0.000 0.000
0.000 4.110 0.000
0.000 0.000 10.957
Pu Mg Ge Ir
2 1 3 4
direct
0.000 0.500 0.247
0.500 0.000 0.753
0.000 0.000 0.500
0.000 0.500 0.873
0.500 0.000 0.127
0.500 0.500 0.500
0.000 0.000 0.000
0.000 0.500 0.649
0.500 0.000 0.351
0.500 0.500 0.000
```


No. 10
Material: MgSn3Rh6
Method: DFT, PBE
State: optimized geometry

V ... 325.4 Å³ per cell
Total energy ... -6.138 eV per atom
Calculated formation energy ... -0.367 eV per atom

```
MgSn3Rh6
1.0
7.781 0.000 0.000
0.000 4.548 0.000
-3.780 0.000 9.195
Mg Sn Rh
2 6 12
direct
0.045 0.250 0.419
0.955 0.750 0.581
0.207 0.250 0.019
0.358 0.750 0.794
0.470 0.250 0.621
0.530 0.750 0.379
0.642 0.250 0.206
0.793 0.750 0.981
0.060 0.750 0.866
0.151 0.750 0.189
0.158 0.250 0.710
0.261 0.750 0.502
0.320 0.250 0.327
0.440 0.750 0.080
0.560 0.250 0.920
0.680 0.750 0.673
0.739 0.250 0.498
0.842 0.750 0.290
0.849 0.250 0.811
0.940 0.250 0.134
```


No. 11
Material: LiGaPd14
Method: DFT, PBE
State: optimized geometry

V ... 242.0 Å³ per cell
Total energy ... -5.026 eV per atom
Calculated formation energy ... -0.174 eV per atom

```
LiGaPd14
1.0
9.081 0.000 0.000
0.000 2.804 4.753
0.000 -2.804 4.753
Li Ga Pd
1 1 14
direct
0.000 0.000 0.000
0.000 0.501 0.501
0.000 0.004 0.504
0.000 0.504 0.004
0.239 0.323 0.821
0.239 0.821 0.323
0.248 0.324 0.324
0.249 0.825 0.825
0.500 0.153 0.153
0.500 0.154 0.654
0.500 0.653 0.653
0.500 0.654 0.154
0.751 0.825 0.825
0.752 0.324 0.324
0.761 0.323 0.821
0.761 0.821 0.323
```


No. 12
Material: BeZnAg2
Method: DFT, PBE
State: optimized geometry

V ... 58.3 Å³ per cell
Total energy ... -2.555 eV per atom
Calculated formation energy ... 0.121 eV per atom

```
BeZnAg2
1.0
0.000 3.078 3.078
3.078 0.000 3.078
3.078 3.078 0.000
Be Zn Ag
1 1 2
direct
0.000 0.000 0.000
0.500 0.500 0.500
0.250 0.250 0.250
0.750 0.750 0.750
```


No. 13
Material: NaAsPd3
Method: DFT, PBE
State: optimized geometry

V ... 187.1 Å³ per cell
Total energy ... -4.603 eV per atom
Calculated formation energy ... -0.294 eV per atom

```
NaAsPd3
1.0
5.722 0.000 0.000
2.860 5.292 0.000
0.000 2.525 6.179
Na As Pd
2 2 6
direct
0.000 0.000 0.000
0.219 0.559 0.570
0.453 0.092 0.236
0.666 0.667 0.730
0.006 0.474 0.061
0.197 0.084 0.526
0.500 0.000 0.914
0.519 0.474 0.062
0.706 0.587 0.388
0.717 0.084 0.526
```


No. 14
Material: Cs2AgO3
Method: DFT, PBE
State: optimized geometry

V ... 362.6 Å³ per cell
Total energy ... -3.697 eV per atom

```
Cs2AgO3
1.0
6.871 0.000 0.000
-3.435 5.950 0.000
0.000 0.000 8.868
Cs Ag O
4 2 6
direct
0.000 0.000 0.000
0.000 0.000 0.500
0.333 0.667 0.250
0.667 0.333 0.750
0.333 0.667 0.750
0.667 0.333 0.250
0.172 0.344 0.750
0.172 0.828 0.750
0.344 0.172 0.250
0.656 0.828 0.750
0.828 0.172 0.250
0.828 0.656 0.250
```


No. 15
Material: BeInNi2
Method: DFT, PBE
State: optimized geometry

V ... 50.5 Å³ per cell
Total energy ... -4.476 eV per atom
Calculated formation energy ... 0.031 eV per atom

```
BeInNi2
1.0
0.000 2.935 2.935
2.935 0.000 2.935
2.935 2.935 0.000
Be In Ni
1 1 2
direct
0.000 0.000 0.000
0.250 0.250 0.250
0.500 0.500 0.500
0.750 0.750 0.750
```


No. 16
Material: Tb2Pm7Y3
Method: DFT, PBE
State: optimized geometry

V ... 405.5 Å³ per cell
Total energy ... -5.075 eV per atom
Calculated formation energy ... 0.083 eV per atom

```
Tb2Pm7Y3
1.0
5.887 0.000 0.000
0.000 3.633 0.000
-1.199 0.000 18.961
Tb Pm Y
2 7 3
direct
0.206 0.000 0.297
0.794 0.000 0.703
0.179 0.500 0.145
0.242 0.000 0.465
0.320 0.000 0.818
0.500 0.500 0.000
0.680 0.000 0.182
0.758 0.000 0.535
0.821 0.500 0.855
0.000 0.000 0.000
0.283 0.500 0.633
0.717 0.500 0.367
```


No. 17
Material: PuMgIr
Method: DFT, PBE
State: optimized geometry

V ... 122.9 Å³ per cell
Total energy ... -8.677 eV per atom
Calculated formation energy ... -0.415 eV per atom

```
PuMgIr
1.0
4.008 0.000 0.000
0.000 4.008 0.000
0.000 0.000 7.651
Pu Mg Ir
2 2 2
direct
0.250 0.250 0.150
0.750 0.750 0.850
0.250 0.750 0.500
0.750 0.250 0.500
0.250 0.250 0.762
0.750 0.750 0.238
```


No. 18
Material: LaY2Er5
Method: DFT, PBE
State: optimized geometry

V ... 1014.5 Å³ per cell
Total energy ... -5.056 eV per atom
Calculated formation energy ... 0.027 eV per atom

```
LaY2Er5
1.0
7.115 0.000 0.000
0.000 20.034 0.000
0.000 0.000 7.117
La Y Er
4 8 20
direct
0.248 0.126 0.000
0.252 0.626 0.000
0.748 0.374 0.000
0.752 0.874 0.000
0.000 0.500 0.252
0.000 0.500 0.748
0.248 0.126 0.500
0.252 0.626 0.500
0.500 0.000 0.252
0.500 0.000 0.748
0.748 0.374 0.500
0.752 0.874 0.500
0.000 0.000 0.252
0.000 0.000 0.748
0.000 0.250 0.252
0.000 0.250 0.748
0.000 0.750 0.252
0.000 0.750 0.748
0.249 0.874 0.000
0.249 0.874 0.500
0.251 0.374 0.000
0.251 0.374 0.500
0.500 0.250 0.252
0.500 0.250 0.748
0.500 0.500 0.252
0.500 0.500 0.748
0.500 0.750 0.252
0.500 0.750 0.748
0.749 0.626 0.000
0.749 0.626 0.500
0.751 0.126 0.000
0.751 0.126 0.500
```


No. 19
Material: LiCr2Tc
Method: DFT, PBE
State: optimized geometry

V ... 52.8 Å³ per cell
Total energy ... -7.647 eV per atom
Calculated formation energy ... 0.234 eV per atom

```
LiCr2Tc
1.0
1.454 -2.104 0.000
1.454 2.104 0.000
0.000 0.000 8.626
Li Cr Tc
1 2 1
direct
0.000 0.000 0.000
0.000 0.000 0.485
0.500 0.500 0.271
0.500 0.500 0.730
```


No. 20
Material: Li5Sm4Au6
Method: DFT, PBE
State: optimized geometry

V ... 670.8 Å³ per cell
Total energy ... -3.786 eV per atom
Calculated formation energy ... -0.579 eV per atom

```
Li5Sm4Au6
1.0
2.070 -10.627 0.000
2.070 10.627 0.000
0.000 0.000 15.245
Li Sm Au
10 8 12
direct
0.058 0.942 0.500
0.146 0.854 0.820
0.166 0.834 0.093
0.194 0.806 0.443
0.337 0.663 0.458
0.663 0.337 0.958
0.806 0.194 0.943
0.834 0.166 0.593
0.854 0.146 0.320
0.942 0.058 0.000
0.319 0.681 0.768
0.346 0.654 0.130
0.465 0.535 0.606
0.487 0.513 0.341
0.513 0.487 0.841
0.535 0.465 0.106
0.654 0.346 0.630
0.681 0.319 0.268
0.057 0.943 0.691
0.073 0.927 0.965
0.079 0.921 0.245
0.256 0.744 0.592
0.280 0.720 0.306
0.388 0.612 0.939
0.612 0.388 0.439
0.720 0.280 0.806
0.744 0.256 0.092
0.921 0.079 0.745
0.927 0.073 0.465
0.943 0.057 0.191
```


No. 21
Material: Sm3HfH
Method: DFT, PBE
State: optimized geometry

V ... 120.8 Å³ per cell
Total energy ... -5.512 eV per atom

```
Sm3HfH
1.0
4.944 0.000 0.000
0.000 4.944 0.000
0.000 0.000 4.944
Sm Hf H
3 1 1
direct
0.000 0.000 0.500
0.000 0.500 0.000
0.500 0.000 0.000
0.500 0.500 0.500
0.000 0.000 0.000
```


No. 22
Material: K3Cu2
Method: DFT, PBE
State: optimized geometry

V ... 371.7 Å³ per cell
Total energy ... -1.862 eV per atom
Calculated formation energy ... 0.435 eV per atom

```
K3Cu2
1.0
0.000 8.343 4.772
4.668 0.000 4.772
4.668 8.343 0.000
K Cu
6 4
direct
0.000 0.000 0.000
0.084 0.632 0.640
0.250 0.250 0.250
0.605 0.610 0.618
0.610 0.605 0.166
0.632 0.084 0.645
0.073 0.441 0.040
0.210 0.803 0.177
0.441 0.073 0.447
0.803 0.210 0.809
```